No. 1
Entry from the Alexandria database: an optimized crystal structure of Tm3TlHg2 (PBE).

Lattice parameters (Å, degrees): 3.7036 3.7036 11.0925 90.00 90.00 90.00
Element x y z (fractional)
Tm1 0.0000 0.0000 0.0000
Tm2 0.0000 0.0000 0.3247
Tm3 0.0000 0.0000 0.6753
Tl1 0.5000 0.5000 0.5000
Hg1 0.5000 0.5000 0.1618
Hg2 0.5000 0.5000 0.8382

Summary:
Magnetic moment, μB/atom: 0.0000
Formation enthalpy at 0 K, meV per atom: -414
Total DFT energy (no corrections), eV per atom: -3.145

***

No. 2
Entry from the Alexandria database: an optimized crystal structure of AlV2As (PBE).

Lattice parameters (Å, degrees): 4.3378 4.3378 4.3378 60.00 60.00 60.00
Element x y z (fractional)
Al1 0.0000 0.0000 0.0000
V1 0.2500 0.2500 0.2500
V2 0.7500 0.7500 0.7500
As1 0.5000 0.5000 0.5000

Summary:
Magnetic moment, μB/atom: 0.0343
Polymorph energy (0 for the lowest one), meV/atom: 0
Formation enthalpy at 0 K, meV per atom: 59
Total DFT energy (no corrections), eV per atom: -6.598

***

No. 3
Entry from the Alexandria database: an optimized crystal structure of LiY2BiPb (PBE).

Lattice parameters (Å, degrees): 5.9797 5.9797 5.0718 90.00 90.00 90.00
Element x y z (fractional)
Li1 0.0000 0.0000 0.0000
Y1 0.0000 0.5000 0.5000
Y2 0.5000 0.0000 0.5000
Bi1 0.5000 0.5000 0.0000
Pb1 0.0000 0.0000 0.5000

Summary:
Magnetic moment, μB/atom: 0.0000
Formation enthalpy at 0 K, meV per atom: -108
Total DFT energy (no corrections), eV per atom: -4.595

***

No. 4
Entry from the Alexandria database: an optimized crystal structure of Fe3MoPt12 (PBE).

Lattice parameters (Å, degrees): 3.9380 3.9380 15.6286 90.00 90.00 90.00
Element x y z (fractional)
Fe1 0.0000 0.0000 0.0000
Fe2 0.0000 0.0000 0.2428
Fe3 0.0000 0.0000 0.7572
Mo1 0.0000 0.0000 0.5000
Pt1 0.0000 0.5000 0.1241
Pt2 0.0000 0.5000 0.3745
Pt3 0.0000 0.5000 0.6255
Pt4 0.0000 0.5000 0.8759
Pt5 0.5000 0.0000 0.1241
Pt6 0.5000 0.0000 0.3745
Pt7 0.5000 0.0000 0.6255
Pt8 0.5000 0.0000 0.8759
Pt9 0.5000 0.5000 0.0000
Pt10 0.5000 0.5000 0.2490
Pt11 0.5000 0.5000 0.5000
Pt12 0.5000 0.5000 0.7510

Summary:
Magnetic moment, μB/atom: 0.3272
Formation enthalpy at 0 K, meV per atom: -228
Total DFT energy (no corrections), eV per atom: -7.022

***

No. 5
Entry from the Alexandria database: an optimized crystal structure of LaTi2Bi (PBE).

Lattice parameters (Å, degrees): 10.6311 10.6311 10.6311 155.59 155.59 34.79
Element x y z (fractional)
La1 0.0000 0.0000 0.0000
La2 0.7500 0.2500 0.5000
Ti1 0.1489 0.6250 0.0239
Ti2 0.3750 0.3989 0.5239
Ti3 0.6011 0.1250 0.9761
Ti4 0.8750 0.8511 0.4761
Bi1 0.2500 0.7500 0.5000
Bi2 0.5000 0.5000 0.0000

Summary:
Magnetic moment, μB/atom: 0.0000
Formation enthalpy at 0 K, meV per atom: 268
Total DFT energy (no corrections), eV per atom: -5.882

***

No. 6
Entry from the Alexandria database: an optimized crystal structure of PuCdBiCl (PBE).

Lattice parameters (Å, degrees): 4.6286 4.6286 9.8637 90.00 90.00 90.00
Element x y z (fractional)
Pu1 0.2500 0.2500 0.1896
Pu2 0.7500 0.7500 0.8104
Cd1 0.2500 0.7500 0.5000
Cd2 0.7500 0.2500 0.5000
Bi1 0.2500 0.2500 0.7070
Bi2 0.7500 0.7500 0.2930
Cl1 0.2500 0.7500 0.0000
Cl2 0.7500 0.2500 0.0000

Summary:
Magnetic moment, μB/atom: 1.4911
Polymorph energy (0 for the lowest one), meV/atom: 0
Uncorrected formation energy, meV per atom: -705
Total DFT energy (no corrections), eV per atom: -5.948

***

No. 7
Entry from the Alexandria database: an optimized crystal structure of BaScCl2 (PBE).

Lattice parameters (Å, degrees): 7.4952 7.4952 7.4952 150.73 149.75 42.60
Element x y z (fractional)
Ba1 0.0000 0.0000 0.0000
Sc1 0.2514 0.7514 0.5000
Cl1 0.6171 0.6171 0.0000
Cl2 0.8138 0.3138 0.5000

Summary:
Magnetic moment, μB/atom: 0.3034
Polymorph energy (0 for the lowest one), meV/atom: 140
Uncorrected formation energy, meV per atom: -1215
Total DFT energy (no corrections), eV per atom: -4.201

***

No. 8
Entry from the Alexandria database: an optimized crystal structure of KCa2ZrN (PBE).

Lattice parameters (Å, degrees): 5.5986 5.5986 5.0449 90.00 90.00 90.00
Element x y z (fractional)
K1 0.0000 0.0000 0.0000
Ca1 0.0000 0.5000 0.0000
Ca2 0.5000 0.0000 0.0000
Zr1 0.0000 0.0000 0.5000
N1 0.5000 0.5000 0.5000

Summary:
Magnetic moment, μB/atom: 0.0000
Uncorrected formation energy, meV per atom: 2421
Total DFT energy (no corrections), eV per atom: -1.974

***

No. 9
Entry from the Alexandria database: an optimized crystal structure of Pr4OsO7 (PBE).

Lattice parameters (Å, degrees): 7.0074 7.0074 9.4835 130.01 130.01 32.71
Element x y z (fractional)
Pr1 0.0880 0.0880 0.3961
Pr2 0.2519 0.2519 0.1638
Pr3 0.7481 0.7481 0.8362
Pr4 0.9120 0.9120 0.6039
Os1 0.5000 0.5000 0.0000
O1 0.0000 0.0000 0.0000
O2 0.1246 0.1246 0.6869
O3 0.2979 0.2979 0.4469
O4 0.4007 0.4007 0.0938
O5 0.5993 0.5993 0.9062
O6 0.7021 0.7021 0.5531
O7 0.8754 0.8754 0.3131

Summary:
Magnetic moment, μB/atom: 0.0635
Uncorrected formation energy, meV per atom: -2730
Total DFT energy (no corrections), eV per atom: -8.152

***

No. 10
Entry from the Alexandria database: an optimized crystal structure of La2PrY12 (PBE).

Lattice parameters (Å, degrees): 6.7613 6.7613 25.0944 90.00 90.00 116.44
Element x y z (fractional)
La1 0.2500 0.7500 0.2324
La2 0.2500 0.7500 0.7711
La3 0.7500 0.2500 0.2289
La4 0.7500 0.2500 0.7676
Pr1 0.2500 0.7500 0.5003
Pr2 0.7500 0.2500 0.4997
Y1 0.9996 0.4996 0.3727
Y2 0.0004 0.5004 0.6273
Y3 0.0006 0.9994 0.4215
Y4 0.0079 0.5079 0.0835
Y5 0.0097 0.9903 0.9390
Y6 0.2500 0.2500 0.1715
Y7 0.2500 0.2500 0.3007
Y8 0.2500 0.2500 0.6993
Y9 0.2500 0.2500 0.8285
Y10 0.4903 0.5097 0.9390
Y11 0.4921 0.9921 0.0835
Y12 0.4994 0.5006 0.4215
Y13 0.5004 0.0004 0.3727
Y14 0.4996 0.9996 0.6273
Y15 0.5006 0.4994 0.5785
Y16 0.5079 0.0079 0.9165
Y17 0.5097 0.4903 0.0610
Y18 0.7500 0.7500 0.1715
Y19 0.7500 0.7500 0.3007
Y20 0.7500 0.7500 0.6993
Y21 0.7500 0.7500 0.8285
Y22 0.9903 0.0097 0.0610
Y23 0.9921 0.4921 0.9165
Y24 0.9994 0.0006 0.5785

Summary:
Magnetic moment, μB/atom: 0.0000
Formation enthalpy at 0 K, meV per atom: 162
Total DFT energy (no corrections), eV per atom: -5.985

***

No. 11
Entry from the Alexandria database: an optimized crystal structure of NaCuAgI3 (PBE).

Lattice parameters (Å, degrees): 8.6995 4.2364 10.8319 90.00 99.12 90.00
Element x y z (fractional)
Na1 0.1915 0.2500 0.2558
Na2 0.8085 0.7500 0.7442
Cu1 0.0640 0.2500 0.5666
Cu2 0.9360 0.7500 0.4334
Ag1 0.3360 0.7500 0.8902
Ag2 0.6640 0.2500 0.1098
I1 0.0935 0.2500 0.8169
I2 0.2370 0.7500 0.5151
I3 0.4214 0.7500 0.1586
I4 0.5786 0.2500 0.8414
I5 0.7630 0.2500 0.4849
I6 0.9065 0.7500 0.1831

Summary:
Magnetic moment, μB/atom: 0.0000
Uncorrected formation energy, meV per atom: -500
Total DFT energy (no corrections), eV per atom: -2.653

***

No. 12
Entry from the Alexandria database: an optimized crystal structure of Ca2CdSi (PBE).

Lattice parameters (Å, degrees): 3.6505 3.6505 8.4469 90.00 90.00 90.00
Element x y z (fractional)
Ca1 0.0000 0.0000 0.0000
Ca2 0.5000 0.5000 0.3787
Cd1 0.0000 0.0000 0.6129
Si1 0.5000 0.5000 0.7801

Summary:
Magnetic moment, μB/atom: 0.0000
Uncorrected formation energy, meV per atom: -55
Total DFT energy (no corrections), eV per atom: -2.640

***

No. 13
Entry from the Alexandria database: an optimized crystal structure of LiHN (PBE).

Lattice parameters (Å, degrees): 3.3602 3.3926 4.4034 97.46 99.95 111.91
Element x y z (fractional)
Li1 0.0000 0.0000 0.0000
Li2 0.3331 0.6794 0.4978
H1 0.5162 0.3153 0.7486
H2 0.6517 0.4530 0.2246
N1 0.6766 0.1957 0.3191
N2 0.8050 0.3515 0.6774

Summary:
Magnetic moment, μB/atom: 0.0000
Polymorph energy (0 for the lowest one), meV/atom: 79
Total DFT energy (no corrections), eV per atom: -4.726

***

No. 14
Entry from the Alexandria database: an optimized crystal structure of Cs2Ag2PdCl6 (PBE).

Lattice parameters (Å, degrees): 8.5938 8.5938 6.1629 99.63 99.63 49.83
Element x y z (fractional)
Cs1 0.2048 0.2048 0.2205
Cs2 0.7952 0.7952 0.7795
Ag1 0.4703 0.4703 0.7456
Ag2 0.5297 0.5297 0.2544
Pd1 0.0000 0.0000 0.5000
Cl1 0.1506 0.6986 0.2720
Cl2 0.3014 0.8494 0.7280
Cl3 0.3149 0.3149 0.7683
Cl4 0.6851 0.6851 0.2317
Cl5 0.6986 0.1506 0.2720
Cl6 0.8494 0.3014 0.7280

Summary:
Magnetic moment, μB/atom: 0.0000
Uncorrected formation energy, meV per atom: -1040
Total DFT energy (no corrections), eV per atom: -3.193

***

No. 15
Entry from the Alexandria database: an optimized crystal structure of YTmAl2 (PBE).

Lattice parameters (Å, degrees): 5.0663 5.0663 5.0663 60.00 60.00 60.00
Element x y z (fractional)
Y1 0.0000 0.0000 0.0000
Tm1 0.5000 0.5000 0.5000
Al1 0.2500 0.2500 0.2500
Al2 0.7500 0.7500 0.7500

Summary:
Magnetic moment, μB/atom: 0.0000
Polymorph energy (0 for the lowest one), meV/atom: 3
Formation enthalpy at 0 K, meV per atom: -400
Total DFT energy (no corrections), eV per atom: -5.005

***

No. 16
Entry from the Alexandria database: an optimized crystal structure of Nd4Dy3Mg (PBE).

Lattice parameters (Å, degrees): 3.6431 3.6431 19.5740 90.00 90.00 90.00
Element x y z (fractional)
Nd1 0.0000 0.0000 0.1135
Nd2 0.0000 0.0000 0.3715
Nd3 0.0000 0.0000 0.6285
Nd4 0.0000 0.0000 0.8865
Dy1 0.5000 0.5000 0.2417
Dy2 0.5000 0.5000 0.5000
Dy3 0.5000 0.5000 0.7583
Mg1 0.5000 0.5000 0.0000

Summary:
Magnetic moment, μB/atom: 0.0000
Formation enthalpy at 0 K, meV per atom: -8
Total DFT energy (no corrections), eV per atom: -4.317

***

No. 17
Entry from the Alexandria database: an optimized crystal structure of KTlFe (PBE).

Lattice parameters (Å, degrees): 5.3852 5.3852 5.3852 60.00 60.00 60.00
Element x y z (fractional)
K1 0.0000 0.0000 0.0000
Tl1 0.2500 0.2500 0.2500
Fe1 0.7500 0.7500 0.7500

Summary:
Magnetic moment, μB/atom: 1.0082
Polymorph energy (0 for the lowest one), meV/atom: 671
Formation enthalpy at 0 K, meV per atom: 1239
Total DFT energy (no corrections), eV per atom: -2.737

***

No. 18
Entry from the Alexandria database: an optimized crystal structure of YPuI6 (PBE).

Lattice parameters (Å, degrees): 8.3261 8.3261 8.3261 54.82 54.82 54.82
Element x y z (fractional)
Y1 0.0000 0.0000 0.0000
Pu1 0.5000 0.5000 0.5000
I1 0.0887 0.7509 0.4055
I2 0.2491 0.5945 0.9113
I3 0.4055 0.0887 0.7509
I4 0.5945 0.9113 0.2491
I5 0.7509 0.4055 0.0887
I6 0.9113 0.2491 0.5945

Summary:
Magnetic moment, μB/atom: 0.6250
Polymorph energy (0 for the lowest one), meV/atom: 26
Uncorrected formation energy, meV per atom: -1167
Total DFT energy (no corrections), eV per atom: -4.929

***

No. 19
Entry from the Alexandria database: an optimized crystal structure of NaLi2BiCl6 (PBE).

Lattice parameters (Å, degrees): 7.2816 7.2816 7.2816 55.55 55.55 55.55
Element x y z (fractional)
Na1 0.0000 0.0000 0.0000
Li1 0.2864 0.2864 0.2864
Li2 0.8023 0.8023 0.8023
Bi1 0.4893 0.4893 0.4893
Cl1 0.0720 0.6774 0.4350
Cl2 0.1892 0.5697 0.9175
Cl3 0.4350 0.0720 0.6774
Cl4 0.5697 0.9175 0.1892
Cl5 0.6774 0.4350 0.0720
Cl6 0.9175 0.1892 0.5697

Summary:
Magnetic moment, μB/atom: 0.0000
Uncorrected formation energy, meV per atom: -1477
Total DFT energy (no corrections), eV per atom: -3.488

***

No. 20
Entry from the Alexandria database: an optimized crystal structure of Tb4TlPt (PBE).

Lattice parameters (Å, degrees): 7.4904 7.1575 7.0171 90.00 92.17 90.00
Element x y z (fractional)
Tb1 0.1416 0.1610 0.1721
Tb2 0.1416 0.3390 0.6721
Tb3 0.3218 0.6423 0.1228
Tb4 0.3218 0.8577 0.6228
Tb5 0.6782 0.1423 0.3772
Tb6 0.6782 0.3577 0.8772
Tb7 0.8584 0.6610 0.3279
Tb8 0.8584 0.8390 0.8279
Tl1 0.5000 0.0000 0.0000
Tl2 0.5000 0.5000 0.5000
Pt1 0.0000 0.0000 0.5000
Pt2 0.0000 0.5000 0.0000

Summary:
Magnetic moment, μB/atom: 0.0000
Polymorph energy (0 for the lowest one), meV/atom: 206
Formation enthalpy at 0 K, meV per atom: -416
Total DFT energy (no corrections), eV per atom: -4.904